The following is a PBE-GGA calculation of a geometry-optimized CaTaIr2 structure, from Alexandria via LeMat-Bulk.

- energy above the most stable polymorph in this dataset (eV/atom) = 0.7089
- ρ (g/cm³) = 14.7
- total energy (eV per atom) = -7.67
- space-group type = F-43m, No. 216
- energy of formation (eV per atom) = 0.2276

a b c (Å): 6.4929 6.4929 6.4929
angles (deg): 90.00 90.00 90.00
Sites, in units of the cell vectors:
Ca  0.0000  0.0000  0.0000
Ca  0.0000  0.5000  0.5000
Ca  0.5000  0.0000  0.5000
Ca  0.5000  0.5000  0.0000
Ta  0.2500  0.2500  0.7500
Ta  0.2500  0.7500  0.2500
Ta  0.7500  0.2500  0.2500
Ta  0.7500  0.7500  0.7500
Ir  0.0000  0.0000  0.5000
Ir  0.0000  0.5000  0.0000
Ir  0.2500  0.2500  0.2500
Ir  0.2500  0.7500  0.7500
Ir  0.5000  0.0000  0.0000
Ir  0.5000  0.5000  0.5000
Ir  0.7500  0.2500  0.7500
Ir  0.7500  0.7500  0.2500

=====

The following is a PBE-GGA calculation of a geometry-optimized CoSb2Mo structure, from Alexandria via LeMat-Bulk.

- energy relative to the elements, uncorrected (eV/atom) = 0.490
- ρ (g/cm³) = 9.2
- total energy (eV per atom) = -6.06
- space-group type = I-4m2, No. 119

a b c (Å): 3.8620 3.8620 9.6514
angles (deg): 90.00 90.00 90.00
Sites, in units of the cell vectors:
Co  0.0000  0.0000  0.0000
Co  0.5000  0.5000  0.5000
Sb  0.0000  0.0000  0.5000
Sb  0.0000  0.5000  0.2500
Sb  0.5000  0.0000  0.7500
Sb  0.5000  0.5000  0.0000
Mo  0.0000  0.5000  0.7500
Mo  0.5000  0.0000  0.2500

=====

The following is a PBE-GGA calculation of a geometry-optimized Te2PbSe structure, from Alexandria via LeMat-Bulk.

- energy relative to the elements, uncorrected (eV/atom) = -0.193
- ρ (g/cm³) = 7.1
- total energy (eV per atom) = -3.56
- space-group type = Pm, No. 6

a b c (Å): 4.4396 4.4233 6.4381
angles (deg): 90.00 90.44 90.00
Sites, in units of the cell vectors:
Te  0.0000  0.0000  0.0000
Te  0.5001  0.5000  0.9997
Pb  0.0061  0.0000  0.4998
Se  0.5011  0.5000  0.4998

=====

The following is a PBE-GGA calculation of a geometry-optimized Ca2Pm2Dy structure, from Alexandria via LeMat-Bulk.

- energy above the most stable polymorph in this dataset (eV/atom) = 0.0000
- ρ (g/cm³) = 4.9
- total energy (eV per atom) = -3.61
- space-group type = C2/m, No. 12
- energy of formation (eV per atom) = 0.0155

a b c (Å): 6.3667 3.6741 15.4902
angles (deg): 90.00 90.01 90.00
Sites, in units of the cell vectors:
Ca  0.1655  0.0000  0.1072
Ca  0.3345  0.5000  0.8928
Ca  0.6655  0.5000  0.1072
Ca  0.8345  0.0000  0.8928
Pm  0.1647  0.0000  0.6850
Pm  0.3353  0.5000  0.3150
Pm  0.6647  0.5000  0.6850
Pm  0.8353  0.0000  0.3150
Dy  0.0000  0.5000  0.5000
Dy  0.5000  0.0000  0.5000

=====

The following is a PBE-GGA calculation of a geometry-optimized BaCrSi2 structure, from Alexandria via LeMat-Bulk.

- energy above the most stable polymorph in this dataset (eV/atom) = 0.4178
- energy relative to the elements, uncorrected (eV/atom) = 0.283
- ρ (g/cm³) = 5.0
- total energy (eV per atom) = -5.31
- space-group type = P4mm, No. 99

a b c (Å): 3.3238 3.3238 7.4296
angles (deg): 90.00 90.00 90.00
Sites, in units of the cell vectors:
Ba  0.0000  0.0000  0.0000
Cr  0.5000  0.5000  0.3565
Si  0.0000  0.0000  0.4756
Si  0.5000  0.5000  0.6726

=====

The following is a PBE-GGA calculation of a geometry-optimized GdCoS2 structure, from Alexandria via LeMat-Bulk.

- energy relative to the elements, uncorrected (eV/atom) = -0.476
- ρ (g/cm³) = 5.8
- total energy (eV per atom) = -7.84
- space-group type = R-3m, No. 166

a b c (Å): 3.5001 3.5001 22.8489
angles (deg): 90.00 90.00 120.00
Sites, in units of the cell vectors:
Gd  0.0000  0.0000  0.0000
Gd  0.3333  0.6667  0.6667
Gd  0.6667  0.3333  0.3333
Co  0.0000  0.0000  0.5000
Co  0.3333  0.6667  0.1667
Co  0.6667  0.3333  0.8333
S  0.0000  0.0000  0.1185
S  0.0000  0.0000  0.8815
S  0.3333  0.6667  0.5482
S  0.3333  0.6667  0.7852
S  0.6667  0.3333  0.2148
S  0.6667  0.3333  0.4518

=====

The following is a PBE-GGA calculation of a geometry-optimized MnCrAs2C structure, from Alexandria via LeMat-Bulk.

- ρ (g/cm³) = 5.7
- total energy (eV per atom) = -6.31
- space-group type = P4/mmm, No. 123
- energy of formation (eV per atom) = 1.1486

a b c (Å): 4.6983 4.6983 3.5342
angles (deg): 90.00 90.00 90.00
Sites, in units of the cell vectors:
Mn  0.0000  0.0000  0.0000
Cr  0.5000  0.5000  0.5000
As  0.0000  0.5000  0.0000
As  0.5000  0.0000  0.0000
C  0.0000  0.0000  0.5000

=====

The following is a PBE-GGA calculation of a geometry-optimized Ho6Tm3Th2Sc structure, from Alexandria via LeMat-Bulk.

- ρ (g/cm³) = 9.1
- total energy (eV per atom) = -5.14
- space-group type = C2/m, No. 12
- energy of formation (eV per atom) = 0.0292

a b c (Å): 6.0609 6.0609 11.6530
angles (deg): 94.99 94.99 119.99
Sites, in units of the cell vectors:
Ho  0.0848  0.4174  0.7520
Ho  0.2494  0.2494  0.2483
Ho  0.4174  0.0848  0.7520
Ho  0.5826  0.9152  0.2480
Ho  0.7506  0.7506  0.7517
Ho  0.9152  0.5826  0.2480
Tm  0.0000  0.0000  0.5000
Tm  0.3335  0.6665  0.5000
Tm  0.6665  0.3335  0.5000
Th  0.1664  0.8336  0.0000
Th  0.8336  0.1664  0.0000
Sc  0.5000  0.5000  0.0000

=====

The following is a PBE-GGA calculation of a geometry-optimized La2MgTiCd structure, from Alexandria via LeMat-Bulk.

- ρ (g/cm³) = 4.5
- total energy (eV per atom) = -3.30
- space-group type = P4/mmm, No. 123
- energy of formation (eV per atom) = 0.7533

a b c (Å): 5.8608 5.8608 4.9394
angles (deg): 90.00 90.00 90.00
Sites, in units of the cell vectors:
La  0.0000  0.5000  0.0000
La  0.5000  0.0000  0.0000
Mg  0.0000  0.0000  0.0000
Ti  0.5000  0.5000  0.5000
Cd  0.0000  0.0000  0.5000

=====

The following is a PBE-GGA calculation of a geometry-optimized ZrGaMo2 structure, from Alexandria via LeMat-Bulk.

- ρ (g/cm³) = 8.0
- total energy (eV per atom) = -7.80
- space-group type = I-42d, No. 122
- energy of formation (eV per atom) = 0.5098

a b c (Å): 7.4127 7.4127 5.3608
angles (deg): 90.00 90.00 90.00
Sites, in units of the cell vectors:
Zr  0.0000  0.0000  0.0000
Zr  0.0000  0.5000  0.2500
Zr  0.5000  0.0000  0.7500
Zr  0.5000  0.5000  0.5000
Ga  0.0000  0.0000  0.5000
Ga  0.0000  0.5000  0.7500
Ga  0.5000  0.0000  0.2500
Ga  0.5000  0.5000  0.0000
Mo  0.2161  0.2500  0.6250
Mo  0.2500  0.7161  0.8750
Mo  0.2500  0.7839  0.3750
Mo  0.2839  0.2500  0.1250
Mo  0.7161  0.7500  0.1250
Mo  0.7500  0.2161  0.3750
Mo  0.7500  0.2839  0.8750
Mo  0.7839  0.7500  0.6250

=====

The following is a PBE-GGA calculation of a geometry-optimized LiPu2I5 structure, from Alexandria via LeMat-Bulk.

- energy above the most stable polymorph in this dataset (eV/atom) = 0.0188
- energy relative to the elements, uncorrected (eV/atom) = -0.986
- ρ (g/cm³) = 5.4
- total energy (eV per atom) = -5.78
- space-group type = Fmmm, No. 69

a b c (Å): 11.4882 9.0018 8.0684
angles (deg): 84.41 51.25 44.35
Sites, in units of the cell vectors:
Li  0.0000  0.0000  0.0000
Pu  0.3132  0.3132  0.6868
Pu  0.6868  0.6868  0.3132
I  0.0316  0.2856  0.7144
I  0.2856  0.0316  0.9684
I  0.5000  0.5000  0.5000
I  0.7144  0.9684  0.0316
I  0.9684  0.7144  0.2856

=====

Question: Among the records above, which one has the lowest total energy?
Answer: GdCoS2

=====

Question: Which formula does entry 8 have?
Answer: Ho6Tm3Th2Sc

=====

Question: total energy of number 7 (MnCrAs2C)?
Answer: -6.31 eV per atom